Computed, not measured: an optimized crystal structure of Zr2TlPb at the PBEsol level of DFT.

Unit cell a=7.109 b=7.109 c=7.109 alpha=90.00 beta=90.00 gamma=90.00
Space group Fm-3m (No. 225)
Unique sites:
Zr 0.250 0.250 0.250 [8 per cell]
Tl 0.000 0.000 0.000 [4 per cell]
Pb 0.000 0.000 0.500 [4 per cell]

Results
For the formation energy, the calculation gives -0.030 eV/atom. The calculation puts the total energy at -6.23 eV per atom.

---

Computed, not measured: an optimized crystal structure of Zr2TlPb at the PBEsol level of DFT.

Unit cell a=4.551 b=4.551 c=4.298 alpha=90.00 beta=90.00 gamma=90.00
Space group P4/mmm (No. 123)
Unique sites:
Zr 0.000 0.500 0.000 [2 per cell]
Tl 0.000 0.000 0.500 [1 per cell]
Pb 0.500 0.500 0.500 [1 per cell]

Results
For the formation energy, the calculation gives -0.180 eV/atom. The calculation puts the total energy at -6.38 eV per atom.

---

Computed, not measured: an optimized crystal structure of Zr2TlPb at the PBEsol level of DFT.

Unit cell a=3.182 b=3.182 c=9.648 alpha=90.00 beta=90.00 gamma=90.00
Space group P4mm (No. 99)
Unique sites:
Zr 0.000 0.000 0.000 [1 per cell]
Zr 0.500 0.500 0.223 [1 per cell]
Tl 0.500 0.500 0.758 [1 per cell]
Pb 0.000 0.000 0.474 [1 per cell]

Results
For the formation energy, the calculation gives 0.016 eV/atom. The calculation puts the total energy at -6.19 eV per atom.

---

The highest formation energy belongs to which entry?
number 3

---

Among the records above, which one has the lowest formation energy?
number 2

---

Among the records above, which one has the lowest formation energy?
number 2